Record 1
First-principles (PBE-GGA) data for YHSeN2 after structural relaxation, as listed in the Alexandria database.

Properties
The size of the total moment is 0.324 Bohr magnetons per cell. The value obtained for the relative energy among the computed polymorphs is 0 meV per atom. The raw total energy comes out at -26.726 eV for the cell shown.

a = 4.151 Å, b = 4.151 Å, c = 3.351 Å
α = 90.00°, β = 90.00°, γ = 90.00°
Sites, in units of the cell vectors:
Y: 0.000 0.000 0.000
H: 0.500 0.500 0.500
Se: 0.500 0.500 0.000
N: 0.000 0.500 0.500
N: 0.500 0.000 0.500

=====

Record 2
First-principles (PBE-GGA) data for CaReO5 after structural relaxation, as listed in the Alexandria database.

Properties
The size of the total moment is 2.000 Bohr magnetons per cell. The raw total energy comes out at -103.602 eV for the cell shown. For the formation energy from raw total energies, the calculation gives -1.79 eV per atom.

a = 6.305 Å, b = 6.305 Å, c = 8.912 Å
α = 109.88°, β = 109.88°, γ = 91.82°
Sites, in units of the cell vectors:
Ca: 0.000 0.000 0.000
Ca: 0.000 0.000 0.500
Re: 0.368 0.632 0.750
Re: 0.632 0.368 0.250
O: 0.059 0.941 0.250
O: 0.252 0.741 0.589
O: 0.259 0.748 0.911
O: 0.291 0.333 0.662
O: 0.333 0.291 0.162
O: 0.667 0.709 0.838
O: 0.709 0.667 0.338
O: 0.741 0.252 0.089
O: 0.748 0.259 0.411
O: 0.941 0.059 0.750

=====

Record 3
First-principles (PBE-GGA) data for SrLiErAu after structural relaxation, as listed in the Alexandria database.

Properties
For the formation enthalpy at 0 K, the calculation gives -0.30 eV per atom. The size of the total moment is 0.000 Bohr magnetons per cell. The raw total energy comes out at -12.621 eV for the cell shown.

a = 5.272 Å, b = 5.272 Å, c = 5.272 Å
α = 60.00°, β = 60.00°, γ = 60.00°
Sites, in units of the cell vectors:
Sr: 0.000 0.000 0.000
Li: 0.750 0.750 0.750
Er: 0.500 0.500 0.500
Au: 0.250 0.250 0.250

=====

Record 4
First-principles (PBE-GGA) data for LiTePd14 after structural relaxation, as listed in the Alexandria database.

Properties
The size of the total moment is 0.002 Bohr magnetons per cell. The raw total energy comes out at -79.754 eV for the cell shown. For the formation energy from raw total energies, the calculation gives -0.12 eV per atom.

a = 5.640 Å, b = 5.640 Å, c = 7.838 Å
α = 90.00°, β = 90.00°, γ = 90.00°
Sites, in units of the cell vectors:
Li: 0.000 0.000 0.000
Te: 0.500 0.500 0.000
Pd: 0.000 0.000 0.500
Pd: 0.000 0.500 0.000
Pd: 0.000 0.500 0.500
Pd: 0.248 0.248 0.249
Pd: 0.248 0.248 0.751
Pd: 0.248 0.752 0.249
Pd: 0.248 0.752 0.751
Pd: 0.500 0.000 0.000
Pd: 0.500 0.000 0.500
Pd: 0.500 0.500 0.500
Pd: 0.752 0.248 0.249
Pd: 0.752 0.248 0.751
Pd: 0.752 0.752 0.249
Pd: 0.752 0.752 0.751

=====

> The highest size of the total moment belongs to which entry?

CaReO5

=====

> What is the raw total energy in the first record?

-26.726 eV for the cell shown